Record 1
DFT (PBE) results for a geometry-optimized Cs4NaPa3Se8 structure.

Structure (extended XYZ):
```
16
Lattice="4.324 2.497 8.398 -4.324 2.497 8.398 0.000 -4.993 8.398" Properties=species:S:1:pos:R:3 pbc="T T T"
Cs 0.000 0.000 0.000
Cs -2.162 -1.248 8.398
Cs -2.162 1.248 16.797
Cs 0.000 2.497 8.398
Na 0.000 0.000 12.598
Pa -4.324 0.000 12.598
Pa -2.162 1.248 4.199
Pa 2.162 1.248 4.199
Se -2.276 -1.314 14.162
Se 0.000 0.000 5.772
Se 0.000 -2.628 11.033
Se -2.276 1.314 11.033
Se 2.276 -1.314 14.162
Se 0.000 2.628 14.162
Se 0.000 0.000 19.423
Se 2.276 1.314 11.033
```

Values from the calculation:
As for the theoretical density: 5.74 g cm⁻³. The electronic total energy comes out at -5.144 eV per atom. As for the space group: No. 166. For the formation energy (no corrections), the calculation gives -21.21 eV/f.u.

=====

Record 2
DFT (PBE) results for a geometry-optimized Pa2In2O7 structure.

Structure (extended XYZ):
```
22
Lattice="0.000 5.673 5.673 5.673 0.000 5.673 5.673 5.673 0.000" Properties=species:S:1:pos:R:3 pbc="T T T"
Pa 0.000 0.000 0.000
Pa 2.836 2.836 0.000
Pa 2.836 0.000 2.836
Pa 0.000 2.836 2.836
In 5.673 2.836 2.836
In 2.836 5.673 2.836
In 2.836 2.836 5.673
In 5.673 5.673 5.673
O 4.255 4.255 0.837
O 4.255 0.837 4.255
O 7.672 4.255 4.255
O 7.091 7.091 3.673
O 7.091 3.673 7.091
O 10.509 7.091 7.091
O 4.255 4.255 4.255
O 7.091 7.091 7.091
O 0.837 4.255 4.255
O 4.255 7.672 4.255
O 4.255 4.255 7.672
O 3.673 7.091 7.091
O 7.091 10.509 7.091
O 7.091 7.091 10.509
```

Values from the calculation:
As for the theoretical density: 7.31 g cm⁻³. The electronic total energy comes out at -7.936 eV per atom. As for the space group: No. 227. For the formation energy (no corrections), the calculation gives -28.12 eV/f.u.

=====

Record 3
DFT (PBE) results for a geometry-optimized Na2BiCl structure.

Structure (extended XYZ):
```
4
Lattice="1.871 1.080 8.715 -1.871 1.080 8.715 0.000 -2.161 8.715" Properties=species:S:1:pos:R:3 pbc="T T T"
Na 0.000 0.000 6.092
Na 0.000 0.000 20.052
Bi 0.000 0.000 0.000
Cl 0.000 0.000 13.072
```

Values from the calculation:
As for the theoretical density: 4.56 g cm⁻³. The electronic total energy comes out at -3.065 eV per atom. As for the space group: No. 166. For the formation energy (no corrections), the calculation gives -3.90 eV/f.u. For the energy above the most stable polymorph in this dataset, the calculation gives 0.0 kJ per mole of atoms.

=====

Record 4
DFT (PBE) results for a geometry-optimized I3O structure.

Structure (extended XYZ):
```
4
Lattice="-1.529 4.459 5.387 1.529 -4.459 5.387 1.529 4.459 -5.387" Properties=species:S:1:pos:R:3 pbc="T T T"
I 0.000 0.000 0.000
I 1.529 0.000 3.543
I 0.000 4.459 1.843
O 0.000 0.000 5.387
```

Values from the calculation:
As for the theoretical density: 4.49 g cm⁻³. The electronic total energy comes out at -2.050 eV per atom. As for the space group: No. 71. For the formation energy (no corrections), the calculation gives 1.41 eV/f.u. For the energy above the most stable polymorph in this dataset, the calculation gives 6.5 kJ per mole of atoms.